[1]
The following is a DFT calculation (SCAN) of a crystal of Hf6Zn6N relaxed with PBEsol.

Summary:
Energy, eV per atom: -36.4736
V, A^3/atom: 15.822

Cell and atoms, written as extended XYZ:
```
26
Lattice="-6.589 3.152 -4.042 -4.145 -4.692 -5.522 -7.686 -2.730 1.779" Properties=species:S:1:pos:R:3 pbc="T T T"
N -13.815 -3.202 -5.840
Zn -2.302 -0.534 -0.973
N -9.210 -2.135 -3.893
Zn -12.481 -6.038 -4.431
Hf -13.235 -3.429 -3.683
Zn -3.595 -0.522 -3.168
Hf -10.206 -4.145 -3.836
Hf -14.394 -2.976 -7.996
Hf -12.818 -1.192 -5.896
Zn -11.744 -2.085 -8.343
Zn -4.756 0.121 -0.774
Zn -4.375 -2.880 -3.734
Hf -8.213 -0.125 -3.950
Hf -7.284 -3.107 -4.512
Zn -5.597 1.042 -2.994
Zn -6.115 -1.417 -2.585
Zn -6.145 -1.899 -0.084
Hf -8.630 -2.361 -1.737
Zn -3.954 -2.451 -1.259
Zn -16.910 -3.920 -7.148
Hf -15.740 -2.230 -5.220
Hf -11.889 -4.174 -6.459
Hf -11.135 -1.163 -3.274
Zn -14.124 -0.766 -3.436
Hf -14.811 -5.212 -5.783
Hf -9.789 -1.909 -6.049
```

[2]
The following is a DFT calculation (SCAN) of a crystal of Hf2ZnN relaxed with PBEsol.

Summary:
Energy, eV per atom: -36.7748
V, A^3/atom: 14.666

Cell and atoms, written as extended XYZ:
```
4
Lattice="4.361 0.000 0.000 2.181 3.777 0.000 2.181 1.259 3.561" Properties=species:S:1:pos:R:3 pbc="T T T"
Hf 2.181 1.259 0.890
Zn 4.361 2.518 1.781
N 0.000 0.000 0.000
Hf 6.542 3.777 2.671
```

Number 1: E_form (uncorrected) -0.595 eV per atom, size of the total moment 0.000 μB per formula unit. Number 2: E_form (uncorrected) 0.263 eV per atom, size of the total moment 0.000 μB per formula unit.